(1)
A relaxed PmAlRu2 crystal, computed with GGA-PBE.

Energy above the most stable polymorph in this dataset in meV/atom: 0
Energy of formation from the pure elements in eV/f.u.: -1.0
Density in g/cm³: 8.9
M_tot in μB/f.u.: 0.00

abc: 3.266 3.266 6.521
angles: 90.00 90.00 90.00
Atoms (fractional coordinates):
Pm  0.000  0.000  0.000
Al  0.000  0.000  0.500
Ru  0.500  0.500  0.290
Ru  0.500  0.500  0.710

(2)
A relaxed Pm2AlRu crystal, computed with GGA-PBE.

Energy above the most stable polymorph in this dataset in meV/atom: 0
Energy of formation from the pure elements in eV/f.u.: -1.2
Density in g/cm³: 6.4
M_tot in μB/f.u.: 0.00

abc: 4.588 4.588 7.092
angles: 108.22 108.22 50.40
Atoms (fractional coordinates):
Pm  0.000  0.000  0.000
Pm  0.165  0.165  0.559
Al  0.391  0.391  0.278
Ru  0.701  0.701  0.284

(3)
A relaxed Pm3Al3Ru crystal, computed with GGA-PBE.

Energy of formation from the pure elements in eV/f.u.: -3.0
Density in g/cm³: 6.1
M_tot in μB/f.u.: 0.00

abc: 6.152 6.152 15.480
angles: 105.44 105.44 37.00
Atoms (fractional coordinates):
Pm  0.019  0.019  0.388
Pm  0.125  0.125  0.920
Pm  0.239  0.239  0.242
Pm  0.761  0.761  0.758
Pm  0.875  0.875  0.080
Pm  0.981  0.981  0.612
Al  0.319  0.319  0.465
Al  0.406  0.406  0.925
Al  0.477  0.477  0.771
Al  0.523  0.523  0.229
Al  0.594  0.594  0.075
Al  0.681  0.681  0.535
Ru  0.284  0.284  0.627
Ru  0.716  0.716  0.373

(4)
A relaxed Pm6AlRu2 crystal, computed with GGA-PBE.

Energy of formation from the pure elements in eV/f.u.: -2.4
Density in g/cm³: 7.4
M_tot in μB/f.u.: 0.00

abc: 8.627 8.627 8.627
angles: 112.79 112.14 103.64
Atoms (fractional coordinates):
Pm  0.043  0.240  0.803
Pm  0.181  0.286  0.467
Pm  0.181  0.714  0.895
Pm  0.329  0.017  0.688
Pm  0.329  0.641  0.312
Pm  0.436  0.240  0.197
Pm  0.564  0.760  0.803
Pm  0.671  0.359  0.688
Pm  0.671  0.983  0.312
Pm  0.819  0.286  0.105
Pm  0.819  0.714  0.533
Pm  0.957  0.760  0.197
Al  0.000  0.000  0.000
Al  0.500  0.500  0.000
Ru  0.129  0.629  0.500
Ru  0.310  0.000  0.310
Ru  0.690  0.000  0.690
Ru  0.871  0.371  0.500

(5)
A relaxed Pm2Al3Ru crystal, computed with GGA-PBE.

Energy above the most stable polymorph in this dataset in meV/atom: 0
Energy of formation from the pure elements in eV/f.u.: -3.4
Density in g/cm³: 6.4
M_tot in μB/f.u.: 0.00

abc: 5.622 5.622 8.887
angles: 90.00 90.00 120.00
Atoms (fractional coordinates):
Pm  0.333  0.667  0.052
Pm  0.333  0.667  0.448
Pm  0.667  0.333  0.552
Pm  0.667  0.333  0.948
Al  0.160  0.320  0.750
Al  0.160  0.840  0.750
Al  0.320  0.160  0.250
Al  0.680  0.840  0.750
Al  0.840  0.160  0.250
Al  0.840  0.680  0.250
Ru  0.000  0.000  0.000
Ru  0.000  0.000  0.500

(6)
A relaxed Pm2AlRu crystal, computed with GGA-PBE.

Energy above the most stable polymorph in this dataset in meV/atom: 44
Energy of formation from the pure elements in eV/f.u.: -1.0
Density in g/cm³: 7.4
M_tot in μB/f.u.: 0.00

abc: 3.586 3.586 7.272
angles: 90.00 90.00 90.00
Atoms (fractional coordinates):
Pm  0.000  0.000  0.232
Pm  0.000  0.000  0.768
Al  0.500  0.500  0.500
Ru  0.500  0.500  0.000

(7)
A relaxed Pm2AlRu crystal, computed with GGA-PBE.

Energy above the most stable polymorph in this dataset in meV/atom: 89
Energy of formation from the pure elements in eV/f.u.: -0.9
Density in g/cm³: 7.4
M_tot in μB/f.u.: 0.00

abc: 5.092 5.092 5.092
angles: 60.00 60.00 60.00
Atoms (fractional coordinates):
Pm  0.250  0.250  0.250
Pm  0.750  0.750  0.750
Al  0.000  0.000  0.000
Ru  0.500  0.500  0.500

(8)
A relaxed PmAlRu2 crystal, computed with GGA-PBE.

Energy above the most stable polymorph in this dataset in meV/atom: 21
Energy of formation from the pure elements in eV/f.u.: -0.9
Density in g/cm³: 9.0
M_tot in μB/f.u.: 0.00

abc: 4.599 4.599 4.599
angles: 60.00 60.00 60.00
Atoms (fractional coordinates):
Pm  0.000  0.000  0.000
Al  0.500  0.500  0.500
Ru  0.250  0.250  0.250
Ru  0.750  0.750  0.750

(9)
A relaxed Pm3Al9Ru2 crystal, computed with GGA-PBE.

Energy of formation from the pure elements in eV/f.u.: -7.8
Density in g/cm³: 5.5
M_tot in μB/f.u.: 0.00

abc: 8.261 8.261 8.261
angles: 149.25 108.73 79.59
Atoms (fractional coordinates):
Pm  0.000  0.000  0.000
Pm  0.297  0.297  0.000
Pm  0.703  0.703  0.000
Al  0.008  0.649  0.358
Al  0.159  0.876  0.283
Al  0.291  0.649  0.642
Al  0.407  0.124  0.283
Al  0.500  0.000  0.500
Al  0.593  0.876  0.717
Al  0.709  0.351  0.358
Al  0.841  0.124  0.717
Al  0.992  0.351  0.642
Ru  0.326  0.500  0.826
Ru  0.674  0.500  0.174

(10)
A relaxed PmAlRu2 crystal, computed with GGA-PBE.

Energy above the most stable polymorph in this dataset in meV/atom: 52
Energy of formation from the pure elements in eV/f.u.: -0.8
Density in g/cm³: 8.9
M_tot in μB/f.u.: 0.00

abc: 4.538 4.538 3.373
angles: 90.00 90.00 90.00
Atoms (fractional coordinates):
Pm  0.000  0.000  0.000
Al  0.500  0.500  0.000
Ru  0.000  0.500  0.500
Ru  0.500  0.000  0.500

(11)
A relaxed PmAl3Ru2 crystal, computed with GGA-PBE.

Energy of formation from the pure elements in eV/f.u.: -3.3
Density in g/cm³: 6.5
M_tot in μB/f.u.: 0.00

abc: 6.195 6.195 5.772
angles: 90.00 90.00 79.59
Atoms (fractional coordinates):
Pm  0.143  0.857  0.750
Pm  0.857  0.143  0.250
Al  0.041  0.590  0.250
Al  0.410  0.959  0.250
Al  0.472  0.528  0.250
Al  0.528  0.472  0.750
Al  0.590  0.041  0.750
Al  0.959  0.410  0.750
Ru  0.285  0.285  0.000
Ru  0.285  0.285  0.500
Ru  0.715  0.715  0.000
Ru  0.715  0.715  0.500

(12)
A relaxed PmAl5Ru crystal, computed with GGA-PBE.

Energy of formation from the pure elements in eV/f.u.: -3.5
Density in g/cm³: 4.8
M_tot in μB/f.u.: 0.00

abc: 4.323 4.323 7.077
angles: 90.00 90.00 90.00
Atoms (fractional coordinates):
Pm  0.000  0.000  0.000
Al  0.000  0.500  0.311
Al  0.000  0.500  0.689
Al  0.500  0.000  0.311
Al  0.500  0.000  0.689
Al  0.500  0.500  0.000
Ru  0.000  0.000  0.500

(13)
A relaxed Pm2Al3Ru crystal, computed with GGA-PBE.

Energy above the most stable polymorph in this dataset in meV/atom: 59
Energy of formation from the pure elements in eV/f.u.: -3.0
Density in g/cm³: 6.5
M_tot in μB/f.u.: 0.00

abc: 5.502 5.502 5.502
angles: 61.12 61.12 61.12
Atoms (fractional coordinates):
Pm  0.126  0.126  0.126
Pm  0.874  0.874  0.874
Al  0.000  0.500  0.500
Al  0.500  0.000  0.500
Al  0.500  0.500  0.000
Ru  0.500  0.500  0.500

(14)
A relaxed PmAl6Ru crystal, computed with GGA-PBE.

Energy of formation from the pure elements in eV/f.u.: -0.3
Density in g/cm³: 3.9
M_tot in μB/f.u.: 0.00

abc: 6.658 6.658 6.658
angles: 53.25 53.25 53.25
Atoms (fractional coordinates):
Pm  0.000  0.000  0.000
Al  0.052  0.591  0.591
Al  0.409  0.409  0.948
Al  0.409  0.948  0.409
Al  0.591  0.052  0.591
Al  0.591  0.591  0.052
Al  0.948  0.409  0.409
Ru  0.500  0.500  0.500

(15)
A relaxed Pm8Al2Ru crystal, computed with GGA-PBE.

Energy of formation from the pure elements in eV/f.u.: -2.0
Density in g/cm³: 7.0
M_tot in μB/f.u.: 0.00

abc: 9.224 9.224 7.041
angles: 110.22 110.22 34.22
Atoms (fractional coordinates):
Pm  0.010  0.010  0.270
Pm  0.200  0.200  0.759
Pm  0.352  0.352  0.579
Pm  0.397  0.397  0.088
Pm  0.603  0.603  0.912
Pm  0.648  0.648  0.421
Pm  0.800  0.800  0.241
Pm  0.990  0.990  0.730
Al  0.182  0.182  0.190
Al  0.818  0.818  0.810
Ru  0.500  0.500  0.500

(16)
A relaxed PmAl3Ru crystal, computed with GGA-PBE.

Energy of formation from the pure elements in eV/f.u.: -2.2
Density in g/cm³: 5.3
M_tot in μB/f.u.: 0.00

abc: 4.690 4.690 4.690
angles: 90.00 90.00 90.00
Atoms (fractional coordinates):
Pm  0.000  0.000  0.000
Al  0.000  0.500  0.500
Al  0.500  0.000  0.500
Al  0.500  0.500  0.000
Ru  0.500  0.500  0.500

(17)
A relaxed PmAl11Ru crystal, computed with GGA-PBE.

Energy of formation from the pure elements in eV/f.u.: -3.6
Density in g/cm³: 4.0
M_tot in μB/f.u.: 0.00

abc: 6.835 6.835 7.201
angles: 97.37 97.37 135.13
Atoms (fractional coordinates):
Pm  0.000  0.000  0.000
Al  0.000  0.000  0.500
Al  0.000  0.500  0.000
Al  0.015  0.363  0.361
Al  0.280  0.499  0.772
Al  0.363  0.015  0.361
Al  0.499  0.280  0.772
Al  0.500  0.000  0.000
Al  0.501  0.720  0.228
Al  0.637  0.985  0.639
Al  0.720  0.501  0.228
Al  0.985  0.637  0.639
Ru  0.500  0.500  0.500

(18)
A relaxed PmThAlRu crystal, computed with GGA-PBE.

Energy of formation from the pure elements in eV/f.u.: -0.8
Density in g/cm³: 8.9
M_tot in μB/f.u.: 0.00

abc: 5.117 5.117 5.117
angles: 60.00 60.00 60.00
Atoms (fractional coordinates):
Pm  0.000  0.000  0.000
Th  0.500  0.500  0.500
Al  0.750  0.750  0.750
Ru  0.250  0.250  0.250

(19)
A relaxed PmTmAlRu crystal, computed with GGA-PBE.

Energy of formation from the pure elements in eV/f.u.: -1.2
Density in g/cm³: 8.4
M_tot in μB/f.u.: 0.00

abc: 4.990 4.990 4.990
angles: 60.00 60.00 60.00
Atoms (fractional coordinates):
Pm  0.000  0.000  0.000
Tm  0.500  0.500  0.500
Al  0.750  0.750  0.750
Ru  0.250  0.250  0.250

(20)
A relaxed PmYAlRu crystal, computed with GGA-PBE.

Energy of formation from the pure elements in eV/f.u.: -1.1
Density in g/cm³: 6.7
M_tot in μB/f.u.: 0.00

abc: 5.030 5.030 5.030
angles: 60.00 60.00 60.00
Atoms (fractional coordinates):
Pm  0.000  0.000  0.000
Y  0.500  0.500  0.500
Al  0.250  0.250  0.250
Ru  0.750  0.750  0.750

(21)
A relaxed PmZrAlRu crystal, computed with GGA-PBE.

Energy of formation from the pure elements in eV/f.u.: -0.9
Density in g/cm³: 7.3
M_tot in μB/f.u.: 0.00

abc: 4.898 4.898 4.898
angles: 60.00 60.00 60.00
Atoms (fractional coordinates):
Pm  0.000  0.000  0.000
Zr  0.500  0.500  0.500
Al  0.250  0.250  0.250
Ru  0.750  0.750  0.750

(22)
A relaxed Pm2AlS crystal, computed with GGA-PBE.

Energy above the most stable polymorph in this dataset in meV/atom: 0
Density in g/cm³: 5.8
M_tot in μB/f.u.: 0.00

abc: 11.897 11.897 4.258
angles: 90.00 90.00 160.51
Atoms (fractional coordinates):
Pm  0.074  0.926  0.750
Pm  0.312  0.688  0.750
Pm  0.688  0.312  0.250
Pm  0.926  0.074  0.250
Al  0.465  0.535  0.750
Al  0.535  0.465  0.250
S  0.193  0.807  0.750
S  0.807  0.193  0.250

(23)
A relaxed PmAl6S8 crystal, computed with GGA-PBE.

Calculated total energy in eV per atom: -4.869
Density in g/cm³: 3.1
M_tot in μB/f.u.: 0.01

abc: 6.694 6.694 6.694
angles: 93.65 93.65 93.65
Atoms (fractional coordinates):
Pm  0.000  0.000  0.000
Al  0.250  0.339  0.613
Al  0.339  0.613  0.250
Al  0.387  0.750  0.661
Al  0.613  0.250  0.339
Al  0.661  0.387  0.750
Al  0.750  0.661  0.387
S  0.087  0.787  0.380
S  0.213  0.620  0.913
S  0.266  0.266  0.266
S  0.380  0.087  0.787
S  0.620  0.913  0.213
S  0.734  0.734  0.734
S  0.787  0.380  0.087
S  0.913  0.213  0.620

(24)
A relaxed PmAlS2 crystal, computed with GGA-PBE.

Calculated total energy in eV per atom: -5.130
Density in g/cm³: 4.3
M_tot in μB/f.u.: 0.00

abc: 8.444 8.444 8.444
angles: 24.62 24.62 24.62
Atoms (fractional coordinates):
Pm  0.000  0.000  0.000
Al  0.500  0.500  0.500
S  0.114  0.114  0.114
S  0.886  0.886  0.886